# NaPm2P, optimized geometry, DFT GGA-PBE
data_NaPm2P
_symmetry_space_group_name_H-M 'R -3 m'
_symmetry_Int_Tables_number 166
_symmetry_space_group_name_Hall '-R 3 2"'
_cell_length_a 3.9240
_cell_length_b 3.9240
_cell_length_c 32.0322
_cell_angle_alpha 90.00
_cell_angle_beta 90.00
_cell_angle_gamma 120.00
loop_
_atom_site_label
_atom_site_type_symbol
_atom_site_fract_x
_atom_site_fract_y
_atom_site_fract_z
_atom_site_occupancy
Na1 Na 0.0000 0.0000 0.0000 1
Pm1 Pm 0.0000 0.0000 0.1161 1
P1 P 0.0000 0.0000 0.5000 1
# * polymorph energy (0 for the lowest one): 0 meV/atom
# * calculated volume: 35.6 Å³/atom
# * crystal system: trigonal
# * theoretical density: 4011 kg/m3
# * ΔH_f (0 K): -592 meV/atom



# BaTe2AuN, optimized geometry, DFT GGA-PBE
data_BaTe2AuN
_symmetry_space_group_name_H-M 'P 4/m m m'
_symmetry_Int_Tables_number 123
_symmetry_space_group_name_Hall '-P 4 2'
_cell_length_a 5.918
_cell_length_b 5.918
_cell_length_c 4.055
_cell_angle_alpha 90.00
_cell_angle_beta 90.00
_cell_angle_gamma 90.00
loop_
_atom_site_label
_atom_site_type_symbol
_atom_site_fract_x
_atom_site_fract_y
_atom_site_fract_z
_atom_site_occupancy
Ba1 Ba 0.000 0.000 0.000 1
Te1 Te 0.000 0.500 0.500 1
Au1 Au 0.500 0.500 0.500 1
N1 N 0.500 0.500 0.000 1
# * polymorph energy (0 for the lowest one): 0 meV/atom
# * calculated volume: 28.4 Å³/atom
# * crystal system: tetragonal
# * formation energy from raw total energies: 0.077 eV per atom
# * theoretical density: 7058 kg/m3



# Ba3Ce2YTe6, optimized geometry, DFT GGA-PBE
data_Ba3Ce2YTe6
_symmetry_space_group_name_H-M 'C 1 2/m 1'
_symmetry_Int_Tables_number 12
_symmetry_space_group_name_Hall '-C 2y'
_cell_length_a 8.059
_cell_length_b 13.949
_cell_length_c 8.341
_cell_angle_alpha 90.00
_cell_angle_beta 108.77
_cell_angle_gamma 90.00
loop_
_atom_site_label
_atom_site_type_symbol
_atom_site_fract_x
_atom_site_fract_y
_atom_site_fract_z
_atom_site_occupancy
Ba1 Ba 0.000 0.000 0.000 1
Ba2 Ba 0.000 0.331 0.000 1
Ce1 Ce 0.000 0.166 0.500 1
Y1 Y 0.000 0.500 0.500 1
Te1 Te 0.237 0.337 0.721 1
Te2 Te 0.248 0.000 0.723 1
# * calculated volume: 37.0 Å³/atom
# * crystal system: monoclinic
# * formation energy from raw total energies: -1.525 eV per atom
# * theoretical density: 5786 kg/m3



# GeB6N6, optimized geometry, DFT GGA-PBE
data_GeB6N6
_symmetry_space_group_name_H-M 'P m -3'
_symmetry_Int_Tables_number 200
_symmetry_space_group_name_Hall '-P 2 2 3'
_cell_length_a 4.608
_cell_length_b 4.608
_cell_length_c 4.608
_cell_angle_alpha 90.00
_cell_angle_beta 90.00
_cell_angle_gamma 90.00
loop_
_atom_site_label
_atom_site_type_symbol
_atom_site_fract_x
_atom_site_fract_y
_atom_site_fract_z
_atom_site_occupancy
Ge1 Ge 0.000 0.000 0.000 1
B1 B 0.000 0.245 0.500 1
N1 N 0.000 0.500 0.254 1
# * calculated volume: 7.5 Å³/atom
# * crystal system: cubic
# * formation energy from raw total energies: -0.171 eV per atom
# * theoretical density: 3760 kg/m3



> Among the records above, which one has the highest theoretical density?

BaTe2AuN



> Which formula does entry 1 have?

NaPm2P



> Which of these has the lowest theoretical density?

GeB6N6